Entry from the Alexandria database: an optimized crystal structure of CrTeOs (PBE).

```
CrTeOs
1.0
3.017 0.000 0.000
1.508 4.049 0.000
1.409 -0.433 9.789
Cr Os Te
2 2 2
Cartesian
2.914 1.669 6.606
4.422 3.339 7.361
2.914 1.638 4.096
1.406 -0.179 5.337
4.423 1.071 8.832
1.406 -0.065 2.544
```

Properties
Calculated volume in Å³/atom: 19.93
Energy relative to the elements, uncorrected in eV/f.u.: 0.88
Space group: P1, No. 1
Energy above the lowest structure with this stoichiometry in meV per atom: 252